Entry 1:
# Pd2PtPb | Alexandria | GGA-PBEsol | optimized geometry
# Crystal system: cubic
# Magnetic moment: 0.0 μB/f.u.
# ΔE_f: -0.13 eV/atom
data_Pd2PtPb
_cell_length_a 4.541
_cell_length_b 4.541
_cell_length_c 4.541
_cell_angle_alpha 60.00
_cell_angle_beta 60.00
_cell_angle_gamma 60.00
_space_group_name_H-M_alt 'P 1'
_space_group_IT_number 1
_space_group_name_Hall 'P 1'
loop_
_atom_site_label
_atom_site_type_symbol
_atom_site_fract_x
_atom_site_fract_y
_atom_site_fract_z
Pb1 Pb 0.500 0.500 0.500
Pt1 Pt 0.000 0.000 0.000
Pd1 Pd 0.250 0.250 0.250
Pd2 Pd 0.750 0.750 0.750


Entry 2:
# Ba6Sr2CoCu7O24 | Alexandria | GGA-PBEsol | optimized geometry
# Raw total energy: -235.173 eV per cell
# Crystal system: orthorhombic
# Magnetic moment: 6.8 μB/f.u.
data_Ba6Sr2CoCu7O24
_cell_length_a 7.819
_cell_length_b 7.818
_cell_length_c 7.818
_cell_angle_alpha 90.11
_cell_angle_beta 90.00
_cell_angle_gamma 90.00
_space_group_name_H-M_alt 'P 1'
_space_group_IT_number 1
_space_group_name_Hall 'P 1'
loop_
_atom_site_label
_atom_site_type_symbol
_atom_site_fract_x
_atom_site_fract_y
_atom_site_fract_z
Ba1 Ba 0.251 0.751 0.249
Ba2 Ba 0.251 0.249 0.249
Ba3 Ba 0.251 0.249 0.751
Ba4 Ba 0.749 0.751 0.249
Ba5 Ba 0.749 0.249 0.249
Ba6 Ba 0.749 0.249 0.751
Sr1 Sr 0.253 0.752 0.752
Sr2 Sr 0.747 0.752 0.752
Co1 Co 0.000 0.504 0.504
Cu1 Cu 0.000 0.999 0.999
Cu2 Cu 0.000 0.001 0.500
Cu3 Cu 0.000 0.500 0.001
Cu4 Cu 0.500 0.000 0.000
Cu5 Cu 0.500 0.999 0.500
Cu6 Cu 0.500 0.500 0.999
Cu7 Cu 0.500 0.500 0.500
O1 O 0.250 0.992 0.992
O2 O 0.249 0.992 0.508
O3 O 0.249 0.508 0.992
O4 O 0.240 0.505 0.505
O5 O 0.750 0.992 0.992
O6 O 0.751 0.992 0.508
O7 O 0.751 0.508 0.992
O8 O 0.760 0.505 0.505
O9 O 0.000 0.748 0.988
O10 O 0.000 0.742 0.507
O11 O 0.000 0.251 0.999
O12 O 0.000 0.262 0.502
O13 O 0.500 0.750 0.988
O14 O 0.500 0.749 0.512
O15 O 0.500 0.250 0.998
O16 O 0.500 0.251 0.502
O17 O 0.000 0.999 0.251
O18 O 0.000 0.988 0.748
O19 O 0.000 0.502 0.262
O20 O 0.000 0.507 0.742
O21 O 0.500 0.998 0.250
O22 O 0.500 0.988 0.750
O23 O 0.500 0.502 0.251
O24 O 0.500 0.512 0.749


Entry 3:
# Zr2Co | Alexandria | GGA-PBEsol | optimized geometry
# Crystal system: tetragonal
# Magnetic moment: 0.0 μB/f.u.
# ΔE_f: -0.28 eV/atom
data_Zr2Co
_cell_length_a 5.174
_cell_length_b 5.174
_cell_length_c 5.174
_cell_angle_alpha 105.72
_cell_angle_beta 105.72
_cell_angle_gamma 117.27
_space_group_name_H-M_alt 'P 1'
_space_group_IT_number 1
_space_group_name_Hall 'P 1'
loop_
_atom_site_label
_atom_site_type_symbol
_atom_site_fract_x
_atom_site_fract_y
_atom_site_fract_z
Co1 Co 0.250 0.250 0.000
Co2 Co 0.750 0.750 0.000
Zr1 Zr 0.330 0.170 0.500
Zr2 Zr 0.670 0.830 0.500
Zr3 Zr 0.170 0.670 0.840
Zr4 Zr 0.830 0.330 0.160


Entry 4:
# CsFeHPb2 | Alexandria | GGA-PBEsol | optimized geometry
# Raw total energy: -10.083 eV per cell
# Crystal system: tetragonal
# Magnetic moment: 3.1 μB/f.u.
data_CsFeHPb2
_cell_length_a 4.939
_cell_length_b 6.292
_cell_length_c 6.292
_cell_angle_alpha 90.00
_cell_angle_beta 90.00
_cell_angle_gamma 90.00
_space_group_name_H-M_alt 'P 1'
_space_group_IT_number 1
_space_group_name_Hall 'P 1'
loop_
_atom_site_label
_atom_site_type_symbol
_atom_site_fract_x
_atom_site_fract_y
_atom_site_fract_z
Pb1 Pb 0.000 0.000 0.500
Pb2 Pb 0.000 0.500 0.000
Cs1 Cs 0.000 0.000 0.000
Fe1 Fe 0.500 0.000 0.000
H1 H 0.500 0.500 0.500


Entry 5:
# BaLa2Y | Alexandria | GGA-PBEsol | optimized geometry
# Crystal system: tetragonal
# Magnetic moment: 0.0 μB/f.u.
# ΔE_f: 0.18 eV/atom
data_BaLa2Y
_cell_length_a 5.285
_cell_length_b 5.285
_cell_length_c 6.411
_cell_angle_alpha 114.34
_cell_angle_beta 114.34
_cell_angle_gamma 90.00
_space_group_name_H-M_alt 'P 1'
_space_group_IT_number 1
_space_group_name_Hall 'P 1'
loop_
_atom_site_label
_atom_site_type_symbol
_atom_site_fract_x
_atom_site_fract_y
_atom_site_fract_z
Ba1 Ba 0.250 0.750 0.500
La1 La 0.000 0.000 0.000
La2 La 0.750 0.250 0.500
Y1 Y 0.500 0.500 0.000


Entry 6:
# KLi2As | Alexandria | GGA-PBEsol | optimized geometry
# Crystal system: cubic
# Magnetic moment: 0.0 μB/f.u.
# ΔE_f: -0.27 eV/atom
data_KLi2As
_cell_length_a 4.992
_cell_length_b 4.992
_cell_length_c 4.992
_cell_angle_alpha 60.00
_cell_angle_beta 60.00
_cell_angle_gamma 60.00
_space_group_name_H-M_alt 'P 1'
_space_group_IT_number 1
_space_group_name_Hall 'P 1'
loop_
_atom_site_label
_atom_site_type_symbol
_atom_site_fract_x
_atom_site_fract_y
_atom_site_fract_z
As1 As 0.500 0.500 0.500
K1 K 0.250 0.250 0.250
Li1 Li 0.000 0.000 0.000
Li2 Li 0.750 0.750 0.750


Entry 7:
# NiRh2 | Alexandria | GGA-PBEsol | optimized geometry
# Crystal system: orthorhombic
# Distance to the lowest polymorph of the same formula: 13 meV/atom
# Magnetic moment: 0.8 μB/f.u.
# ΔE_f: 0.05 eV/atom
data_NiRh2
_cell_length_a 2.636
_cell_length_b 3.690
_cell_length_c 7.763
_cell_angle_alpha 90.00
_cell_angle_beta 90.00
_cell_angle_gamma 90.00
_space_group_name_H-M_alt 'P 1'
_space_group_IT_number 1
_space_group_name_Hall 'P 1'
loop_
_atom_site_label
_atom_site_type_symbol
_atom_site_fract_x
_atom_site_fract_y
_atom_site_fract_z
Ni1 Ni 0.000 0.000 0.579
Ni2 Ni 0.500 0.500 0.421
Rh1 Rh 0.000 0.000 0.261
Rh2 Rh 0.500 0.500 0.088
Rh3 Rh 0.000 0.000 0.912
Rh4 Rh 0.500 0.500 0.739


Entry 8:
# KMn2Pt | Alexandria | GGA-PBEsol | optimized geometry
# Crystal system: orthorhombic
# Distance to the lowest polymorph of the same formula: 396 meV/atom
# Magnetic moment: 7.8 μB/f.u.
# ΔE_f: 0.92 eV/atom
data_KMn2Pt
_cell_length_a 2.845
_cell_length_b 4.836
_cell_length_c 5.091
_cell_angle_alpha 90.00
_cell_angle_beta 90.00
_cell_angle_gamma 90.00
_space_group_name_H-M_alt 'P 1'
_space_group_IT_number 1
_space_group_name_Hall 'P 1'
loop_
_atom_site_label
_atom_site_type_symbol
_atom_site_fract_x
_atom_site_fract_y
_atom_site_fract_z
K1 K 0.000 0.500 0.500
Mn1 Mn 0.000 0.000 0.000
Mn2 Mn 0.500 0.000 0.500
Pt1 Pt 0.500 0.500 0.000


Entry 9:
# LaPd2O4 | Alexandria | GGA-PBEsol | optimized geometry
# Raw total energy: -99.398 eV per cell
# Crystal system: tetragonal
# Magnetic moment: 0.0 μB/f.u.
data_LaPd2O4
_cell_length_a 5.883
_cell_length_b 6.599
_cell_length_c 5.883
_cell_angle_alpha 63.53
_cell_angle_beta 90.00
_cell_angle_gamma 116.47
_space_group_name_H-M_alt 'P 1'
_space_group_IT_number 1
_space_group_name_Hall 'P 1'
loop_
_atom_site_label
_atom_site_type_symbol
_atom_site_fract_x
_atom_site_fract_y
_atom_site_fract_z
La1 La 0.750 0.500 0.750
La2 La 0.000 0.000 0.000
Pd1 Pd 0.375 0.750 0.875
Pd2 Pd 0.875 0.250 0.375
Pd3 Pd 0.375 0.250 0.375
Pd4 Pd 0.375 0.750 0.375
O1 O 0.593 0.597 0.351
O2 O 0.399 0.097 0.746
O3 O 0.698 0.097 0.157
O4 O 0.004 0.597 0.052
O5 O 0.157 0.903 0.399
O6 O 0.351 0.403 0.004
O7 O 0.746 0.903 0.698
O8 O 0.052 0.403 0.593


Entry 10:
# Y3TaO7 | Alexandria | GGA-PBEsol | optimized geometry
# Raw total energy: -215.682 eV per cell
# Crystal system: orthorhombic
# Magnetic moment: 0.0 μB/f.u.
data_Y3TaO7
_cell_length_a 6.415
_cell_length_b 6.415
_cell_length_c 7.398
_cell_angle_alpha 90.00
_cell_angle_beta 90.00
_cell_angle_gamma 108.88
_space_group_name_H-M_alt 'P 1'
_space_group_IT_number 1
_space_group_name_Hall 'P 1'
loop_
_atom_site_label
_atom_site_type_symbol
_atom_site_fract_x
_atom_site_fract_y
_atom_site_fract_z
Y1 Y 0.000 0.536 0.241
Y2 Y 0.000 0.464 0.741
Y3 Y 0.536 0.000 0.759
Y4 Y 0.464 0.000 0.259
Y5 Y 0.468 0.468 0.000
Y6 Y 0.532 0.532 0.500
Ta1 Ta 0.999 0.999 0.000
Ta2 Ta 0.001 0.001 0.500
O1 O 0.931 0.069 0.750
O2 O 0.069 0.931 0.250
O3 O 0.361 0.639 0.250
O4 O 0.639 0.361 0.750
O5 O 0.371 0.629 0.750
O6 O 0.629 0.371 0.250
O7 O 0.330 0.083 0.976
O8 O 0.670 0.917 0.476
O9 O 0.310 0.052 0.544
O10 O 0.690 0.948 0.044
O11 O 0.052 0.310 0.456
O12 O 0.948 0.690 0.956
O13 O 0.917 0.670 0.524
O14 O 0.083 0.330 0.024


Entry 11:
# BaFeP2 | Alexandria | GGA-PBEsol | optimized geometry
# Crystal system: trigonal
# Distance to the lowest polymorph of the same formula: 0 meV/atom
# Magnetic moment: 0.0 μB/f.u.
# ΔE_f: -0.63 eV/atom
data_BaFeP2
_cell_length_a 3.860
_cell_length_b 3.860
_cell_length_c 6.098
_cell_angle_alpha 71.55
_cell_angle_beta 71.55
_cell_angle_gamma 60.00
_space_group_name_H-M_alt 'P 1'
_space_group_IT_number 1
_space_group_name_Hall 'P 1'
loop_
_atom_site_label
_atom_site_type_symbol
_atom_site_fract_x
_atom_site_fract_y
_atom_site_fract_z
Ba1 Ba 0.500 0.500 0.500
Fe1 Fe 0.000 0.000 0.000
P1 P 0.702 0.702 0.895
P2 P 0.298 0.298 0.105


Entry 12:
# ZnIn5 | Alexandria | GGA-PBEsol | optimized geometry
# Crystal system: monoclinic
# Magnetic moment: 0.0 μB/f.u.
# ΔE_f: 0.06 eV/atom
data_ZnIn5
_cell_length_a 3.294
_cell_length_b 6.469
_cell_length_c 7.197
_cell_angle_alpha 105.98
_cell_angle_beta 90.00
_cell_angle_gamma 104.75
_space_group_name_H-M_alt 'P 1'
_space_group_IT_number 1
_space_group_name_Hall 'P 1'
loop_
_atom_site_label
_atom_site_type_symbol
_atom_site_fract_x
_atom_site_fract_y
_atom_site_fract_z
Zn1 Zn 0.695 0.391 0.894
In1 In 0.043 0.086 0.034
In2 In 0.694 0.388 0.385
In3 In 0.342 0.684 0.740
In4 In 0.365 0.730 0.204
In5 In 0.027 0.054 0.577